Computed, not measured: a geometry-optimized CrHF3 structure at the GGA+U level of DFT.

Cell and atoms, written as POSCAR:
```
CrHF3
1.0
3.035 -6.001 0.000
3.035 6.001 0.000
-0.004 0.000 3.885
Cr H F
2 2 6
Direct
0.250 0.750 0.000 Cr
0.750 0.250 0.000 Cr
0.062 0.062 0.508 H
0.938 0.938 0.492 H
0.105 0.397 0.000 F
0.252 0.748 0.500 F
0.397 0.105 0.000 F
0.603 0.895 0.000 F
0.748 0.252 0.500 F
0.895 0.603 0.000 F
```

Calculated values
E_tot, eV/atom: -5.437
Space group: C2/m, No. 12
M_tot, μB per formula unit: 3.00
Energy above the lowest structure with this stoichiometry, meV per atom: 0.0

Computed, not measured: a geometry-optimized CrH2F structure at the GGA+U level of DFT.

Cell and atoms, written as POSCAR:
```
CrH2F
1.0
0.000 2.479 2.479
2.479 0.000 2.479
2.479 2.479 0.000
Cr H F
1 2 1
Direct
0.000 0.000 0.000 Cr
0.250 0.250 0.250 H
0.750 0.750 0.750 H
0.500 0.500 0.500 F
```

Calculated values
E_tot, eV/atom: -4.060
Space group: Fm-3m, No. 225
M_tot, μB per formula unit: 3.02
Energy above the lowest structure with this stoichiometry, meV per atom: 473.9

Computed, not measured: a geometry-optimized CrHF4 structure at the GGA+U level of DFT.

Cell and atoms, written as POSCAR:
```
CrHF4
1.0
2.424 -6.574 0.000
2.424 6.574 0.000
-1.297 0.000 5.103
Cr H F
2 2 8
Direct
0.058 0.942 0.750 Cr
0.942 0.058 0.250 Cr
0.340 0.660 0.250 H
0.660 0.340 0.750 H
0.094 0.418 0.176 F
0.166 0.262 0.617 F
0.262 0.166 0.117 F
0.418 0.094 0.676 F
0.582 0.906 0.324 F
0.738 0.834 0.883 F
0.834 0.738 0.383 F
0.906 0.582 0.824 F
```

Calculated values
E_tot, eV/atom: -5.368
Space group: C2/c, No. 15
M_tot, μB per formula unit: 3.00

Computed, not measured: a geometry-optimized Cr2HgHF structure at the GGA+U level of DFT.

Cell and atoms, written as POSCAR:
```
Cr2HgHF
1.0
5.442 0.000 0.000
0.000 5.442 0.000
0.000 0.000 4.748
Cr Hg H F
2 1 1 1
Direct
0.000 0.500 0.000 Cr
0.500 0.000 0.000 Cr
0.000 0.000 0.000 Hg
0.500 0.500 0.500 H
0.000 0.000 0.500 F
```

Calculated values
E_tot, eV/atom: -3.429
Space group: P4/mmm, No. 123
M_tot, μB per formula unit: 10.01

Computed, not measured: a geometry-optimized K2CrH2F8 structure at the GGA+U level of DFT.

Cell and atoms, written as POSCAR:
```
K2CrH2F8
1.0
5.410 0.000 0.000
0.000 8.121 0.000
-0.422 0.000 8.717
K Cr H F
4 2 4 16
Direct
0.072 0.186 0.298 K
0.072 0.314 0.798 K
0.928 0.686 0.202 K
0.928 0.814 0.702 K
0.500 0.000 0.000 Cr
0.500 0.500 0.500 Cr
0.356 0.674 0.947 H
0.356 0.826 0.447 H
0.644 0.174 0.553 H
0.644 0.326 0.053 H
0.194 0.615 0.937 F
0.194 0.885 0.437 F
0.227 0.559 0.603 F
0.227 0.941 0.103 F
0.312 0.007 0.819 F
0.312 0.493 0.319 F
0.425 0.229 0.036 F
0.425 0.271 0.536 F
0.575 0.729 0.464 F
0.575 0.771 0.964 F
0.688 0.507 0.681 F
0.688 0.993 0.181 F
0.773 0.059 0.897 F
0.773 0.441 0.397 F
0.806 0.115 0.563 F
0.806 0.385 0.063 F
```

Calculated values
E_tot, eV/atom: -4.797
Space group: P2_1/c, No. 14
M_tot, μB per formula unit: 2.00

Computed, not measured: a geometry-optimized KCrHF2 structure at the GGA+U level of DFT.

Cell and atoms, written as POSCAR:
```
KCrHF2
1.0
4.339 0.000 0.000
0.000 4.339 0.000
0.000 0.000 3.736
K Cr H F
1 1 1 2
Direct
0.000 0.000 0.000 K
0.500 0.500 0.500 Cr
0.500 0.500 0.000 H
0.000 0.500 0.500 F
0.500 0.000 0.500 F
```

Calculated values
E_tot, eV/atom: -4.907
Space group: P4/mmm, No. 123
M_tot, μB per formula unit: 4.00

Computed, not measured: a geometry-optimized KCrH2F6 structure at the GGA+U level of DFT.

Cell and atoms, written as POSCAR:
```
KCrH2F6
1.0
4.499 -5.002 0.000
4.499 5.002 0.000
-0.445 0.000 5.730
K Cr H F
2 2 4 12
Direct
0.163 0.837 0.750 K
0.837 0.163 0.250 K
0.431 0.569 0.250 Cr
0.569 0.431 0.750 Cr
0.004 0.696 0.327 H
0.304 0.996 0.173 H
0.696 0.004 0.827 H
0.996 0.304 0.673 H
0.085 0.200 0.640 F
0.160 0.563 0.339 F
0.200 0.085 0.140 F
0.326 0.478 0.925 F
0.437 0.840 0.161 F
0.478 0.326 0.425 F
0.522 0.674 0.575 F
0.563 0.160 0.839 F
0.674 0.522 0.075 F
0.800 0.915 0.860 F
0.840 0.437 0.661 F
0.915 0.800 0.360 F
```

Calculated values
E_tot, eV/atom: -4.949
Space group: C2/c, No. 15
M_tot, μB per formula unit: 3.00

Computed, not measured: a geometry-optimized CrHN2F structure at the GGA+U level of DFT.

Cell and atoms, written as POSCAR:
```
CrHN2F
1.0
3.848 0.000 0.000
0.000 3.848 0.000
0.000 0.000 3.937
Cr H N F
1 1 2 1
Direct
0.000 0.000 0.000 Cr
0.500 0.500 0.500 H
0.000 0.500 0.000 N
0.500 0.000 0.000 N
0.000 0.000 0.500 F
```

Calculated values
E_tot, eV/atom: -5.233
Space group: P4/mmm, No. 123
M_tot, μB per formula unit: 0.00
Energy above the lowest structure with this stoichiometry, meV per atom: 0.0